{"formula": "NiMo2P", "functional": "GGA-PBE", "state": "relaxed", "ef_mev_per_atom": -95, "total_magnetization_mub_per_fu": 0.00, "energy_ev_per_cell": -33.23, "cell": [[-3.111, -0.805, -0.061], [0.242, -0.700, -3.128], [1.280, -5.038, 1.227]], "species": ["Mo", "Mo", "P", "Ni"], "frac_coords": [[0.500, 0.500, 0.289], [0.000, 0.000, 0.971], [0.500, 0.500, 0.752], [0.000, 0.000, 0.488]]}